# 1
VASP calculation (GGA-PBE) on a relaxed AlTeAs2 crystal.

Properties
Energy relative to the elements, uncorrected in eV per atom: 0.38
Total magnetization in μB per atom: 0.000
Polymorph energy (0 for the lowest one) in kJ/mol of formula units: 173
SG: Fm-3m

a b c (Å): 4.9168 4.9168 4.9168
angles (deg): 60.00 60.00 60.00
Element x y z (fractional)
Al 0.0000 0.0000 0.0000
Te 0.5000 0.5000 0.5000
As 0.2500 0.2500 0.2500
As 0.7500 0.7500 0.7500



# 2
VASP calculation (GGA-PBE) on a relaxed AlTe2As crystal.

Properties
Energy relative to the elements, uncorrected in eV per atom: -0.05
Total magnetization in μB per atom: 0.000
Polymorph energy (0 for the lowest one) in kJ/mol of formula units: 4
SG: P4mm

a b c (Å): 4.1295 4.1295 6.0337
angles (deg): 90.00 90.00 90.00
Element x y z (fractional)
Al 0.0000 0.0000 0.0000
Te 0.0000 0.0000 0.4972
Te 0.5000 0.5000 0.9964
As 0.5000 0.5000 0.4965



# 3
VASP calculation (GGA-PBE) on a relaxed AlTe2As crystal.

Properties
Energy relative to the elements, uncorrected in eV per atom: 0.11
Total magnetization in μB per atom: 0.000
Polymorph energy (0 for the lowest one) in kJ/mol of formula units: 65
SG: I-42d

a b c (Å): 6.6910 6.6910 6.6910
angles (deg): 112.76 112.76 103.08
Element x y z (fractional)
Al 0.0000 0.0000 0.0000
Al 0.7500 0.2500 0.5000
Te 0.1080 0.1250 0.4830
Te 0.3750 0.8920 0.0170
Te 0.6420 0.6250 0.5170
Te 0.8750 0.3580 0.9830
As 0.2500 0.7500 0.5000
As 0.5000 0.5000 0.0000



# 4
VASP calculation (GGA-PBE) on a relaxed AlTeAs2 crystal.

Properties
Energy relative to the elements, uncorrected in eV per atom: 0.02
Total magnetization in μB per atom: 0.000
Polymorph energy (0 for the lowest one) in kJ/mol of formula units: 31
SG: Cm

a b c (Å): 6.5384 6.5384 4.6554
angles (deg): 107.77 107.77 32.09
Element x y z (fractional)
Al 0.0000 0.0000 0.0000
Te 0.6742 0.6742 0.3521
As 0.3588 0.3588 0.0863
As 0.5019 0.5019 0.5873



# 5
VASP calculation (GGA-PBE) on a relaxed AlTeAs2 crystal.

Properties
Energy relative to the elements, uncorrected in eV per atom: 0.33
Total magnetization in μB per atom: 0.000
Polymorph energy (0 for the lowest one) in kJ/mol of formula units: 151
SG: P4/mmm

a b c (Å): 3.8567 3.8567 6.3281
angles (deg): 90.00 90.00 90.00
Element x y z (fractional)
Al 0.0000 0.0000 0.0000
Te 0.5000 0.5000 0.0000
As 0.0000 0.5000 0.5000
As 0.5000 0.0000 0.5000



# 6
VASP calculation (GGA-PBE) on a relaxed AlTe2As crystal.

Properties
Energy relative to the elements, uncorrected in eV per atom: 0.42
Total magnetization in μB per atom: 0.000
Polymorph energy (0 for the lowest one) in kJ/mol of formula units: 185
SG: R-3m

a b c (Å): 11.7913 11.7913 11.7913
angles (deg): 15.30 15.30 15.30
Element x y z (fractional)
Al 0.0000 0.0000 0.0000
Te 0.0812 0.0812 0.0812
Te 0.9188 0.9188 0.9188
As 0.5000 0.5000 0.5000



# 7
VASP calculation (GGA-PBE) on a relaxed AlTe2As crystal.

Properties
Energy relative to the elements, uncorrected in eV per atom: -0.02
Total magnetization in μB per atom: 0.000
Polymorph energy (0 for the lowest one) in kJ/mol of formula units: 15
SG: R-3m

a b c (Å): 7.2525 7.2525 7.2525
angles (deg): 33.43 33.43 33.43
Element x y z (fractional)
Al 0.0000 0.0000 0.0000
Te 0.2527 0.2527 0.2527
Te 0.7473 0.7473 0.7473
As 0.5000 0.5000 0.5000



# 8
VASP calculation (GGA-PBE) on a relaxed AlTeAs2 crystal.

Properties
Energy relative to the elements, uncorrected in eV per atom: 0.15
Total magnetization in μB per atom: 0.000
Polymorph energy (0 for the lowest one) in kJ/mol of formula units: 82
SG: I-42d

a b c (Å): 7.9773 7.9773 7.9773
angles (deg): 137.35 137.35 61.89
Element x y z (fractional)
Al 0.0000 0.0000 0.0000
Al 0.7500 0.2500 0.5000
Te 0.2500 0.7500 0.5000
Te 0.5000 0.5000 0.0000
As 0.0784 0.6250 0.9534
As 0.3750 0.3284 0.4534
As 0.6716 0.1250 0.0466
As 0.8750 0.9216 0.5466



# 9
VASP calculation (GGA-PBE) on a relaxed AlTeAs2 crystal.

Properties
Energy relative to the elements, uncorrected in eV per atom: -0.01
Total magnetization in μB per atom: 0.000
Polymorph energy (0 for the lowest one) in kJ/mol of formula units: 22
SG: P4mm

a b c (Å): 4.0332 4.0332 5.5502
angles (deg): 90.00 90.00 90.00
Element x y z (fractional)
Al 0.0000 0.0000 0.0000
Te 0.5000 0.5000 0.9962
As 0.0000 0.0000 0.4976
As 0.5000 0.5000 0.4968



# 10
VASP calculation (GGA-PBE) on a relaxed Th4AlTe2As crystal.

Properties
Energy relative to the elements, uncorrected in eV per atom: -0.92
Total magnetization in μB per atom: 0.000
SG: P2/m

a b c (Å): 7.5373 4.3806 7.7777
angles (deg): 90.00 109.16 90.00
Element x y z (fractional)
Th 0.2380 0.0000 0.2184
Th 0.2581 0.5000 0.7791
Th 0.7419 0.5000 0.2209
Th 0.7620 0.0000 0.7816
Al 0.5000 0.0000 0.0000
Te 0.0000 0.0000 0.5000
Te 0.5000 0.5000 0.5000
As 0.0000 0.5000 0.0000



# 11
VASP calculation (GGA-PBE) on a relaxed ThAlAs crystal.

Properties
Total magnetization in μB per atom: 0.000
SG: R-3m
Formation energy from the elements in eV/f.u.: -1.99

a b c (Å): 8.0427 8.0427 8.0427
angles (deg): 35.62 35.62 35.62
Element x y z (fractional)
Th 0.0852 0.0852 0.0852
Th 0.9148 0.9148 0.9148
Al 0.3333 0.3333 0.3333
Al 0.6667 0.6667 0.6667
As 0.2184 0.2184 0.2184
As 0.7816 0.7816 0.7816



# 12
VASP calculation (GGA-PBE) on a relaxed Ti2AlAs2 crystal.

Properties
Total magnetization in μB per atom: 0.000
Polymorph energy (0 for the lowest one) in kJ/mol of formula units: 11
SG: P4/mbm
Formation energy from the elements in eV/f.u.: -2.44

a b c (Å): 7.0599 7.0599 3.4206
angles (deg): 90.00 90.00 90.00
Element x y z (fractional)
Ti 0.1453 0.3547 0.0000
Ti 0.3547 0.8547 0.0000
Ti 0.6453 0.1453 0.0000
Ti 0.8547 0.6453 0.0000
Al 0.0000 0.0000 0.0000
Al 0.5000 0.5000 0.0000
As 0.1526 0.6526 0.5000
As 0.3474 0.1526 0.5000
As 0.6526 0.8474 0.5000
As 0.8474 0.3474 0.5000



# 13
VASP calculation (GGA-PBE) on a relaxed TiAlAs3 crystal.

Properties
Total magnetization in μB per atom: 0.000
Polymorph energy (0 for the lowest one) in kJ/mol of formula units: 0
SG: Pm-3m
Formation energy from the elements in eV/f.u.: 1.02

a b c (Å): 4.8865 4.8865 4.8865
angles (deg): 90.00 90.00 90.00
Element x y z (fractional)
Ti 0.0000 0.0000 0.0000
Al 0.5000 0.5000 0.5000
As 0.0000 0.0000 0.5000
As 0.0000 0.5000 0.0000
As 0.5000 0.0000 0.0000



# 14
VASP calculation (GGA-PBE) on a relaxed TiAlAs3 crystal.

Properties
Total magnetization in μB per atom: 0.000
Polymorph energy (0 for the lowest one) in kJ/mol of formula units: 199
SG: Pm-3m
Formation energy from the elements in eV/f.u.: 3.08

a b c (Å): 4.7812 4.7812 4.7812
angles (deg): 90.00 90.00 90.00
Element x y z (fractional)
Ti 0.0000 0.0000 0.0000
Al 0.5000 0.5000 0.5000
As 0.0000 0.5000 0.5000
As 0.5000 0.0000 0.5000
As 0.5000 0.5000 0.0000



# 15
VASP calculation (GGA-PBE) on a relaxed Ti2AlAs crystal.

Properties
Total magnetization in μB per atom: 0.000
Polymorph energy (0 for the lowest one) in kJ/mol of formula units: 0
SG: R-3m
Formation energy from the elements in eV/f.u.: -1.67

a b c (Å): 7.1912 7.1912 7.1912
angles (deg): 27.80 27.80 27.80
Element x y z (fractional)
Ti 0.2409 0.2409 0.2409
Ti 0.7591 0.7591 0.7591
Al 0.0000 0.0000 0.0000
As 0.5000 0.5000 0.5000



# 16
VASP calculation (GGA-PBE) on a relaxed Ti2AlAs crystal.

Properties
Total magnetization in μB per atom: 0.000
Polymorph energy (0 for the lowest one) in kJ/mol of formula units: 76
SG: Fm-3m
Formation energy from the elements in eV/f.u.: -0.89

a b c (Å): 4.5242 4.5242 4.5242
angles (deg): 60.00 60.00 60.00
Element x y z (fractional)
Ti 0.2500 0.2500 0.2500
Ti 0.7500 0.7500 0.7500
Al 0.0000 0.0000 0.0000
As 0.5000 0.5000 0.5000



# 17
VASP calculation (GGA-PBE) on a relaxed Ti2AlAs2 crystal.

Properties
Total magnetization in μB per atom: 0.000
Polymorph energy (0 for the lowest one) in kJ/mol of formula units: 0
SG: P4/mbm
Formation energy from the elements in eV/f.u.: -2.56

a b c (Å): 7.0371 7.0371 3.3580
angles (deg): 90.00 90.00 90.00
Element x y z (fractional)
Ti 0.1457 0.3543 0.0000
Ti 0.3543 0.8543 0.0000
Ti 0.6457 0.1457 0.0000
Ti 0.8543 0.6457 0.0000
Al 0.0000 0.0000 0.5000
Al 0.5000 0.5000 0.5000
As 0.1492 0.6492 0.5000
As 0.3508 0.1492 0.5000
As 0.6492 0.8508 0.5000
As 0.8508 0.3508 0.5000



# 18
VASP calculation (GGA-PBE) on a relaxed TiAl2As crystal.

Properties
Total magnetization in μB per atom: 0.000
SG: I-42d
Formation energy from the elements in eV/f.u.: -0.09

a b c (Å): 5.8807 5.8807 5.8807
angles (deg): 101.45 101.45 127.09
Element x y z (fractional)
Ti 0.0000 0.0000 0.0000
Ti 0.7500 0.2500 0.5000
Al 0.1557 0.6250 0.0307
Al 0.3750 0.4057 0.5307
Al 0.5943 0.1250 0.9693
Al 0.8750 0.8443 0.4693
As 0.2500 0.7500 0.5000
As 0.5000 0.5000 0.0000



# 19
VASP calculation (GGA-PBE) on a relaxed Ti2AlAs crystal.

Properties
Total magnetization in μB per atom: 0.000
Polymorph energy (0 for the lowest one) in kJ/mol of formula units: 56
SG: I-42d
Formation energy from the elements in eV/f.u.: -1.09

a b c (Å): 5.7260 5.7260 5.7260
angles (deg): 103.78 103.78 121.57
Element x y z (fractional)
Ti 0.1076 0.6250 0.9826
Ti 0.3750 0.3576 0.4826
Ti 0.6424 0.1250 0.0174
Ti 0.8750 0.8924 0.5174
Al 0.2500 0.7500 0.5000
Al 0.5000 0.5000 0.0000
As 0.0000 0.0000 0.0000
As 0.7500 0.2500 0.5000



# 20
VASP calculation (GGA-PBE) on a relaxed TiAlAs2 crystal.

Properties
Total magnetization in μB per atom: 0.246
SG: I-42d
Formation energy from the elements in eV/f.u.: -1.19

a b c (Å): 6.9783 6.9783 6.9783
angles (deg): 130.08 130.08 73.28
Element x y z (fractional)
Ti 0.0000 0.0000 0.0000
Ti 0.7500 0.2500 0.5000
Al 0.2500 0.7500 0.5000
Al 0.5000 0.5000 0.0000
As 0.1309 0.6250 0.0059
As 0.3750 0.3809 0.5059
As 0.6191 0.1250 0.9941
As 0.8750 0.8691 0.4941



# 21
VASP calculation (GGA-PBE) on a relaxed TiAl2AsW crystal.

Properties
Total magnetization in μB per atom: 0.000
SG: P4/mmm
Formation energy from the elements in eV/f.u.: 6.33

a b c (Å): 4.9479 4.9479 4.5036
angles (deg): 90.00 90.00 90.00
Element x y z (fractional)
Ti 0.0000 0.0000 0.0000
Al 0.0000 0.5000 0.0000
Al 0.5000 0.0000 0.0000
As 0.5000 0.5000 0.5000
W 0.0000 0.0000 0.5000



# 22
VASP calculation (GGA-PBE) on a relaxed AlTlAs2 crystal.

Properties
Total magnetization in μB per atom: 0.000
Polymorph energy (0 for the lowest one) in kJ/mol of formula units: 45
SG: Cm
Formation energy from the elements in eV/f.u.: -0.24

a b c (Å): 4.2615 4.2615 6.9702
angles (deg): 94.02 94.02 53.84
Element x y z (fractional)
Al 0.0000 0.0000 0.0000
Tl 0.3015 0.3015 0.5017
As 0.5786 0.5786 0.2233
As 0.6863 0.6863 0.8582



# 23
VASP calculation (GGA-PBE) on a relaxed AlTlAs2 crystal.

Properties
Total magnetization in μB per atom: 0.000
Polymorph energy (0 for the lowest one) in kJ/mol of formula units: 156
SG: Imm2
Formation energy from the elements in eV/f.u.: 0.91

a b c (Å): 5.8011 5.8011 5.8011
angles (deg): 144.74 122.69 69.11
Element x y z (fractional)
Al 0.0000 0.0000 0.0000
Tl 0.7218 0.2218 0.5000
As 0.2384 0.7384 0.5000
As 0.4279 0.4279 0.0000



# 24
VASP calculation (GGA-PBE) on a relaxed AlTlAs2 crystal.

Properties
Total magnetization in μB per atom: 0.000
Polymorph energy (0 for the lowest one) in kJ/mol of formula units: 113
SG: Cmmm
Formation energy from the elements in eV/f.u.: 0.47

a b c (Å): 3.2338 3.2338 9.1410
angles (deg): 90.00 90.00 108.36
Element x y z (fractional)
Al 0.0000 0.0000 0.0000
Tl 0.0000 0.0000 0.5000
As 0.5000 0.5000 0.1911
As 0.5000 0.5000 0.8089



# 25
VASP calculation (GGA-PBE) on a relaxed AlTlAs2 crystal.

Properties
Total magnetization in μB per atom: 0.000
Polymorph energy (0 for the lowest one) in kJ/mol of formula units: 57
SG: C2/m
Formation energy from the elements in eV/f.u.: -0.11

a b c (Å): 3.9560 3.9560 7.1232
angles (deg): 105.14 105.14 58.53
Element x y z (fractional)
Al 0.0000 0.0000 0.0000
Tl 0.5000 0.5000 0.5000
As 0.2625 0.2625 0.8038
As 0.7375 0.7375 0.1962



# 26
VASP calculation (GGA-PBE) on a relaxed Al3TlAs crystal.

Properties
Total magnetization in μB per atom: 0.000
Polymorph energy (0 for the lowest one) in kJ/mol of formula units: 228
SG: Pm-3m
Formation energy from the elements in eV/f.u.: 4.80

a b c (Å): 5.1518 5.1518 5.1518
angles (deg): 90.00 90.00 90.00
Element x y z (fractional)
Al 0.0000 0.0000 0.5000
Al 0.0000 0.5000 0.0000
Al 0.5000 0.0000 0.0000
Tl 0.0000 0.0000 0.0000
As 0.5000 0.5000 0.5000



# 27
VASP calculation (GGA-PBE) on a relaxed Al2TlAs crystal.

Properties
Total magnetization in μB per atom: 0.000
Polymorph energy (0 for the lowest one) in kJ/mol of formula units: 47
SG: I-42d
Formation energy from the elements in eV/f.u.: 0.53

a b c (Å): 7.0141 7.0141 7.0141
angles (deg): 125.81 125.81 80.20
Element x y z (fractional)
Al 0.0878 0.6250 0.9628
Al 0.3750 0.3378 0.4628
Al 0.6622 0.1250 0.0372
Al 0.8750 0.9122 0.5372
Tl 0.2500 0.7500 0.5000
Tl 0.5000 0.5000 0.0000
As 0.0000 0.0000 0.0000
As 0.7500 0.2500 0.5000



# 28
VASP calculation (GGA-PBE) on a relaxed Al2TlAs crystal.

Properties
Total magnetization in μB per atom: 0.000
Polymorph energy (0 for the lowest one) in kJ/mol of formula units: 99
SG: I-4m2
Formation energy from the elements in eV/f.u.: 1.06

a b c (Å): 6.2030 6.2030 6.2030
angles (deg): 142.68 142.68 53.81
Element x y z (fractional)
Al 0.0000 0.0000 0.0000
Al 0.7500 0.2500 0.5000
Tl 0.2500 0.7500 0.5000
As 0.5000 0.5000 0.0000